CeHo2Tm2: optimized geometry, PBE.

Cell lengths 8.928, 8.928, 8.928 Å; angles 151.16, 151.16, 41.23 degrees
Positions (direct):
Ce: 0.000 0.000 0.000
Ho: 0.250 0.750 0.500
Ho: 0.750 0.250 0.500
Tm: 0.405 0.405 0.000
Tm: 0.595 0.595 0.000

Properties
space-group type = I4/mmm, No. 139
ΔH_f (0 K) = 421 meV per atom


Na3PaI6Br2: optimized geometry, PBE.

Cell lengths 9.548, 9.548, 7.645 Å; angles 109.13, 109.13, 54.59 degrees
Positions (direct):
Na: 0.000 0.000 0.000
Na: 0.000 0.500 0.500
Na: 0.500 0.000 0.500
Pa: 0.500 0.500 0.500
I: 0.153 0.630 0.256
I: 0.370 0.847 0.744
I: 0.397 0.397 0.742
I: 0.603 0.603 0.258
I: 0.630 0.153 0.256
I: 0.847 0.370 0.744
Br: 0.158 0.158 0.287
Br: 0.842 0.842 0.713

Properties
space-group type = C2/m, No. 12
ΔE_f (raw) = -1.143 eV/atom


RbPd2Pt: optimized geometry, PBE.

Cell lengths 4.807, 4.807, 4.807 Å; angles 60.00, 60.00, 60.00 degrees
Positions (direct):
Rb: 0.000 0.000 0.000
Pd: 0.250 0.250 0.250
Pd: 0.750 0.750 0.750
Pt: 0.500 0.500 0.500

Properties
space-group type = Fm-3m, No. 225
relative energy among the computed polymorphs = 0.5226 eV/atom
ΔH_f (0 K) = 531 meV per atom


Nd2Ga3Ag: optimized geometry, PBE.

Cell lengths 8.337, 8.337, 8.337 Å; angles 151.54, 149.17, 42.45 degrees
Positions (direct):
Nd: 0.000 0.000 0.000
Nd: 0.769 0.269 0.500
Ga: 0.179 0.679 0.500
Ga: 0.341 0.841 0.500
Ga: 0.428 0.428 0.000
Ag: 0.594 0.594 0.000

Properties
space-group type = Imm2, No. 44
relative energy among the computed polymorphs = 0.0196 eV/atom
ΔH_f (0 K) = -554 meV per atom


K3Cd3Ag2: optimized geometry, PBE.

Cell lengths 6.554, 6.554, 16.786 Å; angles 90.00, 90.00, 133.94 degrees
Positions (direct):
K: 0.087 0.913 0.608
K: 0.087 0.913 0.892
K: 0.393 0.607 0.750
K: 0.607 0.393 0.250
K: 0.913 0.087 0.108
K: 0.913 0.087 0.392
Cd: 0.305 0.695 0.250
Cd: 0.377 0.623 0.535
Cd: 0.377 0.623 0.965
Cd: 0.623 0.377 0.035
Cd: 0.623 0.377 0.465
Cd: 0.695 0.305 0.750
Ag: 0.206 0.794 0.095
Ag: 0.206 0.794 0.405
Ag: 0.794 0.206 0.595
Ag: 0.794 0.206 0.905

Properties
space-group type = Cmcm, No. 63
relative energy among the computed polymorphs = 0.0000 eV/atom
ΔH_f (0 K) = -52 meV per atom


AcMgAg2: optimized geometry, PBE.

Cell lengths 5.879, 5.879, 5.879 Å; angles 48.66, 48.66, 48.66 degrees
Positions (direct):
Ac: 0.000 0.000 0.000
Mg: 0.500 0.500 0.500
Ag: 0.210 0.210 0.210
Ag: 0.790 0.790 0.790

Properties
space-group type = R-3m, No. 166
ΔH_f (0 K) = -279 meV per atom


Number 1: energy -4.386 eV per atom. Number 2: energy -3.318 eV per atom. Number 3: energy -3.817 eV per atom. Number 4: energy -4.132 eV per atom. Number 5: energy -1.519 eV per atom. Number 6: energy -3.130 eV per atom.